FeRePd2F | GGA+U | relaxed

Values from the calculation:
- total magnetic moment (μB per formula unit) = 4.06
- energy (eV per atom) = -5.162
- crystal system = tetragonal
- SG = P4/mmm

Cell lengths 4.488, 3.906, 4.488 Å; angles 90.00, 90.00, 90.00 degrees
Atoms (fractional coordinates):
F 0.000 0.000 0.000
Re 0.000 0.500 0.000
Pd 0.500 0.000 0.000
Fe 0.500 0.500 0.500
Pd 0.000 0.000 0.500